(1)
## La2ErGa (PBE-GGA)

Data for crystalline La2ErGa at its relaxed geometry.

abc: 3.777 3.777 8.639
angles: 90.00 90.00 90.00
Space group P4/mmm (No. 123)
Asymmetric unit:
La (0.000, 0.000, 0.210) x2
Er (0.500, 0.500, 0.500) x1
Ga (0.500, 0.500, 0.000) x1

## Properties
For the spin magnetization, the calculation gives 0.0 μB per formula unit. As for the electronic total energy: -0.3370 Ry/atom. The calculation puts the density of states at the Fermi level at 6.50 states/eV per cell. For the energy above the most stable polymorph in this dataset, the calculation gives 11 meV per atom. The formation energy from the elements is -224 meV per atom.

(2)
## La3Er4Ga4 (PBE-GGA)

Data for crystalline La3Er4Ga4 at its relaxed geometry.

abc: 4.809 7.793 16.281
angles: 90.00 90.00 90.00
Space group Immm (No. 71)
Asymmetric unit:
La (0.000, 0.000, 0.000) x2
La (0.000, 0.500, 0.109) x4
Er (0.000, 0.290, 0.328) x8
Ga (0.000, 0.000, 0.208) x4
Ga (0.000, 0.178, 0.500) x4

## Properties
For the spin magnetization, the calculation gives 0.0 μB per formula unit. As for the electronic total energy: -0.3321 Ry/atom. The calculation puts the density of states at the Fermi level at 16.47 states/eV per cell. The formation energy from the elements is -415 meV per atom.

(3)
## LaErLuGa (PBE-GGA)

Data for crystalline LaErLuGa at its relaxed geometry.

abc: 7.592 7.592 7.592
angles: 90.00 90.00 90.00
Space group F-43m (No. 216)
Asymmetric unit:
La (0.000, 0.000, 0.000) x4
Er (0.000, 0.000, 0.500) x4
Lu (0.250, 0.250, 0.250) x4
Ga (0.250, 0.250, 0.750) x4

## Properties
For the spin magnetization, the calculation gives 0.6 μB per formula unit. As for the electronic total energy: -0.3219 Ry/atom. The calculation puts the density of states at the Fermi level at 24.74 states/eV per cell. The formation energy from the elements is -120 meV per atom.

(4)
## LaErMgGa (PBE-GGA)

Data for crystalline LaErMgGa at its relaxed geometry.

abc: 7.487 7.487 7.487
angles: 90.00 90.00 90.00
Space group F-43m (No. 216)
Asymmetric unit:
La (0.000, 0.000, 0.000) x4
Er (0.000, 0.000, 0.500) x4
Mg (0.250, 0.250, 0.250) x4
Ga (0.250, 0.250, 0.750) x4

## Properties
For the spin magnetization, the calculation gives 0.0 μB per formula unit. As for the electronic total energy: -0.2834 Ry/atom. The calculation puts the density of states at the Fermi level at 13.00 states/eV per cell. The formation energy from the elements is -328 meV per atom.

(5)
## LaErGaPb (PBE-GGA)

Data for crystalline LaErGaPb at its relaxed geometry.

abc: 7.616 7.616 7.616
angles: 90.00 90.00 90.00
Space group F-43m (No. 216)
Asymmetric unit:
La (0.000, 0.000, 0.000) x4
Er (0.000, 0.000, 0.500) x4
Ga (0.250, 0.250, 0.750) x4
Pb (0.250, 0.250, 0.250) x4

## Properties
For the spin magnetization, the calculation gives 0.0 μB per formula unit. As for the electronic total energy: -0.3322 Ry/atom. The calculation puts the density of states at the Fermi level at 9.12 states/eV per cell. The formation energy from the elements is -464 meV per atom.

(6)
## La2ErGa4Pd3 (PBE-GGA)

Data for crystalline La2ErGa4Pd3 at its relaxed geometry.

abc: 4.280 4.280 11.794
angles: 90.00 90.00 90.00
Space group P-4m2 (No. 115)
Asymmetric unit:
La (0.000, 0.500, 0.226) x2
Er (0.000, 0.000, 0.500) x1
Ga (0.000, 0.000, 0.000) x1
Ga (0.000, 0.500, 0.665) x2
Ga (0.500, 0.500, 0.000) x1
Pd (0.000, 0.500, 0.877) x2
Pd (0.500, 0.500, 0.500) x1

## Properties
For the spin magnetization, the calculation gives 0.0 μB per formula unit. As for the electronic total energy: -0.3646 Ry/atom. The calculation puts the density of states at the Fermi level at 8.35 states/eV per cell. The formation energy from the elements is -750 meV per atom.